(1)
Below is a relaxed Gd5NiSb2 crystal, with properties calculated at the PBE level.

abc: 7.9669 8.9088 12.2441
angles: 90.00 90.00 90.00
Fractional positions:
Ni 0.4240 0.7500 0.4873
Sb 0.9264 0.5086 0.3266
Sb 0.5736 0.9914 0.8266
Ni 0.5760 0.2500 0.5127
Gd 0.8179 0.5402 0.0651
Sb 0.4264 0.0086 0.1734
Gd 0.1553 0.7500 0.2065
Ni 0.9240 0.2500 0.0127
Gd 0.8748 0.7500 0.8020
Gd 0.3748 0.2500 0.6980
Sb 0.5736 0.5086 0.8266
Gd 0.8447 0.2500 0.7935
Ni 0.0760 0.7500 0.9873
Sb 0.0736 0.0086 0.6734
Gd 0.6821 0.5402 0.5651
Gd 0.9589 0.2500 0.5003
Sb 0.4264 0.4914 0.1734
Gd 0.3179 0.0402 0.4349
Sb 0.0736 0.4914 0.6734
Gd 0.3447 0.7500 0.7065
Gd 0.1821 0.0402 0.9349
Gd 0.1821 0.4598 0.9349
Sb 0.9264 0.9914 0.3266
Gd 0.6252 0.7500 0.3020
Gd 0.6821 0.9598 0.5651
Gd 0.6553 0.2500 0.2935
Gd 0.8179 0.9598 0.0651
Gd 0.4589 0.7500 0.9997
Gd 0.5411 0.2500 0.0003
Gd 0.1252 0.2500 0.1980
Gd 0.3179 0.4598 0.4349
Gd 0.0411 0.7500 0.4997

Computed properties:
Space group: Pnma, No. 62
Final energy (eV/atom): -5.375
Spin magnetization (μB per atom): 0.0129
V (Å³ per cell): 869



(2)
Below is a relaxed GdScNi4 crystal, with properties calculated at the PBE level.

abc: 4.9710 4.9710 4.9710
angles: 60.00 60.00 60.00
Fractional positions:
Gd 0.7500 0.7500 0.7500
Ni 0.3744 0.8769 0.3744
Ni 0.8769 0.3744 0.3744
Ni 0.3744 0.3744 0.3744
Sc 0.0000 0.0000 0.0000
Ni 0.3744 0.3744 0.8769

Computed properties:
Space group: F-43m, No. 216
Spin magnetization (μB per atom): 0.0005
Formation enthalpy at 0 K (meV/atom): -458
V (Å³ per cell): 87



(3)
Below is a relaxed GdScTlNi2 crystal, with properties calculated at the PBE level.

abc: 3.5781 7.4073 7.4073
angles: 30.05 90.00 90.00
Fractional positions:
Ni 0.0000 0.1956 0.1956
Tl 0.0000 0.0055 0.0055
Ni 0.0000 0.7959 0.7959
Gd 0.5000 0.3612 0.3612
Sc 0.5000 0.6418 0.6418

Computed properties:
Space group: Amm2, No. 38
Final energy (eV/atom): -5.336
Spin magnetization (μB per atom): 0.0002
V (Å³ per cell): 98



(4)
Below is a relaxed GdTlNiSe3 crystal, with properties calculated at the PBE level.

abc: 7.6362 7.6362 10.7528
angles: 90.00 90.00 30.47
Fractional positions:
Tl 0.7490 0.7490 0.2500
Gd 0.0000 0.0000 0.0000
Se 0.3714 0.3714 0.4228
Tl 0.2510 0.2510 0.7500
Se 0.3714 0.3714 0.0772
Ni 0.5254 0.5254 0.7500
Se 0.6286 0.6286 0.5772
Se 0.0672 0.0672 0.2500
Gd 0.0000 0.0000 0.5000
Se 0.9328 0.9328 0.7500
Se 0.6286 0.6286 0.9228
Ni 0.4746 0.4746 0.2500

Computed properties:
Space group: Cmcm, No. 63
Final energy (eV/atom): -4.757
Spin magnetization (μB per atom): 0.2357
V (Å³ per cell): 318